(1)
VASP calculation (PBE) on a geometry-optimized SiAs2WSe structure. Values from VASP.

```
&SYSTEM
  ibrav = 0, nat = 5, ntyp = 4
/
ATOMIC_SPECIES
As 74.92 As.upf
Se 78.96 Se.upf
W 183.84 W.upf
Si 28.09 Si.upf
CELL_PARAMETERS angstrom
4.8921 0.0000 0.0000
0.0000 4.8921 0.0000
0.0000 0.0000 4.9529
ATOMIC_POSITIONS crystal
As 0.0000 0.5000 0.0000
As 0.5000 0.0000 0.0000
Se 0.0000 0.0000 0.5000
W 0.0000 0.0000 0.0000
Si 0.5000 0.5000 0.5000
```

Energy relative to the elements, uncorrected = 0.820 eV/atom
Symmetry = No. 123
Theoretical density = 6.174 g/cm3
E above lowest polymorph = 0.0 meV per atom

---

(2)
VASP calculation (PBE) on a geometry-optimized YSiAsSe2 structure. Values from VASP.

```
&SYSTEM
  ibrav = 0, nat = 5, ntyp = 4
/
ATOMIC_SPECIES
Se 78.96 Se.upf
Y 88.91 Y.upf
Si 28.09 Si.upf
As 74.92 As.upf
CELL_PARAMETERS angstrom
5.3843 0.0000 0.0000
0.0000 5.3843 0.0000
0.0000 0.0000 5.4597
ATOMIC_POSITIONS crystal
Se 0.5000 0.0000 0.0000
Se 0.0000 0.5000 0.0000
Y 0.0000 0.0000 0.0000
Si 0.5000 0.5000 0.5000
As 0.0000 0.0000 0.5000
```

Energy relative to the elements, uncorrected = 0.303 eV/atom
Symmetry = No. 123
Theoretical density = 3.670 g/cm3
E above lowest polymorph = 659.6 meV per atom

---

(3)
VASP calculation (PBE) on a geometry-optimized YSiAsSe2 structure. Values from VASP.

```
&SYSTEM
  ibrav = 0, nat = 5, ntyp = 4
/
ATOMIC_SPECIES
Se 78.96 Se.upf
Si 28.09 Si.upf
As 74.92 As.upf
Y 88.91 Y.upf
CELL_PARAMETERS angstrom
4.8706 0.0000 0.0000
0.0000 4.8706 0.0000
0.0000 0.0000 4.7938
ATOMIC_POSITIONS crystal
Se 0.0000 0.5000 0.0000
Si 0.0000 0.0000 0.0000
Se 0.5000 0.0000 0.0000
As 0.0000 0.0000 0.5000
Y 0.5000 0.5000 0.5000
```

Energy relative to the elements, uncorrected = -0.357 eV/atom
Symmetry = No. 123
Theoretical density = 5.108 g/cm3
E above lowest polymorph = 0.0 meV per atom

---

(4)
VASP calculation (PBE) on a geometry-optimized ZnSiAs2Se structure. Values from VASP.

```
&SYSTEM
  ibrav = 0, nat = 5, ntyp = 4
/
ATOMIC_SPECIES
Zn 65.41 Zn.upf
Se 78.96 Se.upf
As 74.92 As.upf
Si 28.09 Si.upf
CELL_PARAMETERS angstrom
4.8346 0.0000 0.0000
0.0000 4.8346 0.0000
0.0000 0.0000 4.8049
ATOMIC_POSITIONS crystal
Zn 0.5000 0.5000 0.5000
Se 0.0000 0.0000 0.5000
As 0.0000 0.5000 0.0000
Si 0.0000 0.0000 0.0000
As 0.5000 0.0000 0.0000
```

Energy relative to the elements, uncorrected = 0.598 eV/atom
Symmetry = No. 123
Theoretical density = 4.765 g/cm3
E above lowest polymorph = 0.0 meV per atom

---

energy relative to the elements, uncorrected of number 2 (YSiAsSe2)? 0.303 eV/atom